Computed, not measured: crystalline ZnNiPdF6 at its relaxed geometry at the PBE with a Hubbard U level of DFT.

abc: 5.317 5.317 9.270
angles: 90.00 90.00 120.00
Element x y z (fractional)
Zn 0.333 0.667 0.250
Zn 0.667 0.333 0.750
Ni 0.333 0.667 0.750
Ni 0.667 0.333 0.250
Pd 0.000 0.000 0.000
Pd 0.000 0.000 0.500
F 0.004 0.351 0.633
F 0.004 0.653 0.867
F 0.347 0.351 0.867
F 0.347 0.996 0.633
F 0.351 0.004 0.133
F 0.351 0.347 0.367
F 0.649 0.653 0.633
F 0.649 0.996 0.867
F 0.653 0.004 0.367
F 0.653 0.649 0.133
F 0.996 0.347 0.133
F 0.996 0.649 0.367

## Properties
Energy = -0.15017 hartree per atom